Compound: Co2Ag3SbO6
Source: OQMD
Functional: PBE with a Hubbard U
Structure: relaxed

The structure in POSCAR format:
```
Co2Ag3SbO6
1.0
5.3676 0.0000 0.0000
-2.6838 4.6484 0.0000
0.0000 0.0000 18.8723
Co Ag Sb O
6 9 3 18
direct
0.1073 0.2147 0.1667
0.1073 0.8927 0.8333
0.1164 0.5582 0.5000
0.4418 0.5582 0.8333
0.4418 0.8836 0.1667
0.7853 0.8927 0.5000
0.0997 0.5498 0.0000
0.1128 0.2256 0.6667
0.1128 0.8872 0.3333
0.4458 0.2229 0.0000
0.4502 0.5498 0.3333
0.4502 0.9003 0.6667
0.7744 0.8872 0.0000
0.7771 0.2229 0.3333
0.7771 0.5542 0.6667
0.4525 0.2263 0.5000
0.7737 0.2263 0.8333
0.7737 0.5475 0.1667
0.0946 0.5464 0.8888
0.0946 0.5482 0.1112
0.0962 0.2299 0.7779
0.0962 0.8664 0.2221
0.1336 0.2299 0.5554
0.1336 0.9038 0.4446
0.4520 0.2260 0.1113
0.4520 0.2260 0.8887
0.4518 0.5464 0.4445
0.4518 0.9054 0.5555
0.4536 0.5482 0.2222
0.4536 0.9054 0.7778
0.7701 0.8664 0.1113
0.7701 0.9038 0.8887
0.7740 0.2260 0.2220
0.7740 0.2260 0.4447
0.7740 0.5480 0.5553
0.7740 0.5480 0.7780
```

VASP energy: -189.20 eV/cell
SG: No. 151

***

Compound: CoAgSeO
Source: OQMD
Functional: PBE with a Hubbard U
Structure: relaxed

The structure in POSCAR format:
```
CoAgSeO
1.0
5.3920 0.0000 0.0000
0.0000 9.2667 0.0000
0.0000 0.0000 5.3924
Co Ag Se O
4 4 4 4
direct
0.0107 0.0579 0.0000
0.4893 0.0579 0.5000
0.5107 0.9421 0.0000
0.9893 0.9421 0.5000
0.0007 0.3560 0.4484
0.4993 0.3560 0.9484
0.5007 0.6440 0.4484
0.9993 0.6440 0.9484
0.0012 0.6732 0.4485
0.4988 0.6732 0.9485
0.5012 0.3268 0.4485
0.9988 0.3268 0.9485
0.2456 0.9937 0.7466
0.2544 0.9937 0.2466
0.7456 0.0063 0.7466
0.7544 0.0063 0.2466
```

Distance to the lowest polymorph of the same formula: 0.0 meV per atom
VASP energy: -71.95 eV/cell
SG: No. 29

***

Compound: CoAgSeO
Source: OQMD
Functional: PBE with a Hubbard U
Structure: relaxed

The structure in POSCAR format:
```
CoAgSeO
1.0
3.9550 0.0000 0.0000
0.0000 3.9550 0.0000
0.0000 0.0000 8.0314
Co Ag Se O
2 2 2 2
direct
0.2500 0.2500 0.2467
0.7500 0.7500 0.7533
0.2500 0.7500 0.0000
0.7500 0.2500 0.0000
0.2500 0.2500 0.6950
0.7500 0.7500 0.3050
0.2500 0.2500 0.4810
0.7500 0.7500 0.5190
```

Distance to the lowest polymorph of the same formula: 523.2 meV per atom
VASP energy: -31.79 eV/cell
SG: No. 129